Material: CoSb2Te
Method: DFT, PBE
State: relaxed

Cell: 5.0743 5.0743 5.0743 Å, 109.08 109.08 110.26°
Fractional coordinates of all 4 atoms:
Co 0.0000 0.0000 0.0000
Sb 0.0000 0.5000 0.5000
Sb 0.5000 0.0000 0.5000
Te 0.5000 0.5000 0.0000

* final energy: -16.93 eV per cell
* symmetry: I4/mmm
* Fermi-level density of states: 4.45 states/eV per cell
* uncorrected formation energy: 0.39 eV/atom

Material: Co2SbTe
Method: DFT, PBE
State: relaxed

Cell: 3.6998 3.6998 6.3671 Å, 106.94 106.94 60.18°
Fractional coordinates of all 4 atoms:
Co 0.2477 0.2477 0.2428
Co 0.7523 0.7523 0.7572
Sb 0.5000 0.5000 0.0000
Te 0.0000 0.0000 0.5000

* energy above the lowest structure with this stoichiometry: 7.97 kcal/mol of atoms
* final energy: -20.55 eV per cell
* symmetry: C2/m
* Fermi-level density of states: 5.29 states/eV per cell
* uncorrected formation energy: 0.23 eV/atom